Material: CsSe4Br4
Method: DFT, GGA-PBE
State: optimized geometry

- Total DFT energy (no corrections): -2.6598 eV/atom
- Energy relative to the elements, uncorrected: -0.27 eV per atom

a b c (Å): 11.387 11.387 5.208
angles (deg): 90.00 90.00 90.00
Positions (direct):
Cs 0.250 0.250 0.250
Cs 0.750 0.750 0.750
Se 0.029 0.898 0.001
Se 0.102 0.529 0.501
Se 0.398 0.971 0.501
Se 0.471 0.602 0.001
Se 0.529 0.398 0.999
Se 0.602 0.029 0.499
Se 0.898 0.471 0.499
Se 0.971 0.102 0.999
Br 0.085 0.879 0.503
Br 0.121 0.585 0.003
Br 0.379 0.915 0.003
Br 0.415 0.621 0.503
Br 0.585 0.379 0.497
Br 0.621 0.085 0.997
Br 0.879 0.415 0.997
Br 0.915 0.121 0.497

Material: LiAgSbRh
Method: DFT, GGA-PBE
State: optimized geometry

- Total DFT energy (no corrections): -4.3651 eV/atom
- Energy relative to the elements, uncorrected: -0.31 eV per atom

a b c (Å): 4.549 4.549 4.549
angles (deg): 60.00 60.00 60.00
Positions (direct):
Li 0.000 0.000 0.000
Ag 0.750 0.750 0.750
Sb 0.250 0.250 0.250
Rh 0.500 0.500 0.500

The lowest energy relative to the elements, uncorrected belongs to which entry? LiAgSbRh

What is the energy relative to the elements, uncorrected in the first record? -0.27 eV per atom

Which formula does entry 1 have? CsSe4Br4

Which formula does entry 1 have? CsSe4Br4